Here is crystalline La4Zn3Cd at its relaxed geometry from the Alexandria database. Energies are from GGA-PBE.

a = 5.377 Å, b = 5.377 Å, c = 9.334 Å
α = 73.26°, β = 73.26°, γ = 60.00°
Fractional coordinates of all 8 atoms:
La (0.129, 0.129, 0.612)
La (0.621, 0.621, 0.137)
La (0.871, 0.871, 0.388)
Zn (0.252, 0.252, 0.244)
La (0.379, 0.379, 0.863)
Zn (0.748, 0.748, 0.756)
Zn (0.500, 0.500, 0.500)
Cd (0.000, 0.000, 0.000)

The calculation puts the calculated volume at 220.4 Å³/f.u. For the total magnetization, the calculation gives 0.0 μB per cell. The density of states at the Fermi level comes out at 1.1008 states/eV per atom. As for the symmetry: R-3m, No. 166. As for the energy of formation: -0.313 eV/atom.

=====

Here is crystalline Pm6TlCd2 at its relaxed geometry from the Alexandria database. Energies are from GGA-PBE.

a = 5.265 Å, b = 7.135 Å, c = 8.325 Å
α = 83.30°, β = 71.56°, γ = 68.35°
Fractional coordinates of all 9 atoms:
Tl (0.000, 0.500, 0.500)
Pm (0.677, 0.811, 0.835)
Pm (0.323, 0.189, 0.165)
Pm (0.656, 0.189, 0.500)
Pm (0.988, 0.189, 0.835)
Pm (0.012, 0.811, 0.165)
Pm (0.344, 0.811, 0.500)
Cd (0.668, 0.500, 0.164)
Cd (0.332, 0.500, 0.836)

The calculation puts the calculated volume at 275.8 Å³/f.u. The calculation puts the excess energy over the best structure of this formula in the dataset at 0.000 eV per atom. For the total magnetization, the calculation gives 0.0 μB per cell. The density of states at the Fermi level comes out at 1.3823 states/eV per atom. As for the symmetry: Fmmm, No. 69. As for the energy of formation: -0.210 eV/atom.

=====

Here is crystalline BaTe2Se at its relaxed geometry from the Alexandria database. Energies are from GGA-PBE.

a = 6.693 Å, b = 6.693 Å, c = 4.674 Å
α = 89.05°, β = 89.05°, γ = 39.97°
Fractional coordinates of all 4 atoms:
Se (0.250, 0.250, 0.250)
Ba (0.750, 0.750, 0.750)
Te (0.022, 0.022, 0.994)
Te (0.478, 0.478, 0.506)

The calculation puts the calculated volume at 134.5 Å³/f.u. For the total magnetization, the calculation gives 0.0 μB per cell. The density of states at the Fermi level comes out at 0.4199 states/eV per atom. The uncorrected formation energy is -3.4 eV per formula unit. As for the symmetry: C2/m, No. 12.